Entry 1:
PuPaGaIr PBE-GGA optimized geometry; density = 15.5 g/cm3; formation energy from the elements = -437 meV per atom; ΔE to the lowest computed polymorph = 74.6 meV per atom; total magnetic moment = 7.015 Bohr magnetons per cell
1.0
0.0000 3.4014 3.4014
3.4014 0.0000 3.4014
3.4014 3.4014 0.0000
Pu Pa Ga Ir
1 1 1 1
Cartesian
0.0000 0.0000 0.0000
5.1021 5.1021 5.1021
1.7007 1.7007 1.7007
3.4014 3.4014 3.4014

***

Entry 2:
ScPaGa4Ir2 PBE-GGA optimized geometry; density = 10.1 g/cm3; formation energy from the elements = -455 meV per atom; total magnetic moment = 0.000 Bohr magnetons per cell
1.0
3.7679 0.0000 0.0000
0.0000 3.7679 0.0000
0.0000 0.0000 10.9247
Sc Pa Ga Ir
1 1 4 2
Cartesian
0.0000 0.0000 0.0000
0.0000 0.0000 5.4623
0.0000 1.8840 2.2290
0.0000 1.8840 8.6957
1.8840 0.0000 2.2290
1.8840 0.0000 8.6957
1.8840 1.8840 4.1354
1.8840 1.8840 6.7893